[1]
## Zr4TiBi (PBE)

Data for crystalline Zr4TiBi at its relaxed geometry.

N(E_F) in states/eV/f.u.: 6.82
ΔE_f in eV per atom: -0.077
Density in g/cm³: 7.44
Magnetization in μB/cell: 0.00

a = 5.724 Å, b = 8.130 Å, c = 7.559 Å
α = 113.93°, β = 101.02°, γ = 110.41°
Element x y z (fractional)
Bi: 0.636 0.386 0.772
Zr: 0.349 0.914 0.626
Ti: 0.252 0.002 0.003
Zr: 0.738 0.380 0.181
Zr: 0.776 0.712 0.626
Zr: 0.057 0.198 0.819
Ti: 0.748 0.998 0.997
Zr: 0.651 0.086 0.374
Zr: 0.943 0.802 0.181
Bi: 0.364 0.614 0.228
Zr: 0.262 0.620 0.819
Zr: 0.224 0.288 0.374

[2]
## ZrTi6Bi3 (PBE)

Data for crystalline ZrTi6Bi3 at its relaxed geometry.

N(E_F) in states/eV/f.u.: 10.58
ΔE_f in eV per atom: 0.037
Density in g/cm³: 7.68
Magnetization in μB/cell: 2.25

a = 7.357 Å, b = 7.690 Å, c = 7.690 Å
α = 91.34°, β = 90.00°, γ = 90.00°
Element x y z (fractional)
Ti: 0.739 0.994 0.006
Ti: 0.815 0.948 0.567
Bi: 0.472 0.857 0.732
Bi: 0.472 0.268 0.143
Ti: 0.315 0.052 0.433
Zr: 0.959 0.238 0.762
Ti: 0.315 0.567 0.948
Ti: 0.165 0.729 0.538
Ti: 0.665 0.538 0.729
Bi: 0.972 0.732 0.857
Ti: 0.239 0.006 0.994
Bi: 0.972 0.143 0.268
Ti: 0.665 0.271 0.462
Ti: 0.165 0.462 0.271
Bi: 0.810 0.609 0.391
Ti: 0.074 0.792 0.208
Zr: 0.459 0.762 0.238
Bi: 0.310 0.391 0.609
Ti: 0.574 0.208 0.792
Ti: 0.815 0.433 0.052

[3]
## ZrTi4Bi2 (PBE)

Data for crystalline ZrTi4Bi2 at its relaxed geometry.

N(E_F) in states/eV/f.u.: 10.08
ΔE_f in eV per atom: 0.182
Density in g/cm³: 7.75
Polymorph energy (0 for the lowest one) in meV/atom: 196.0
Magnetization in μB/cell: 0.00

a = 3.951 Å, b = 3.951 Å, c = 10.019 Å
α = 101.37°, β = 101.37°, γ = 90.00°
Element x y z (fractional)
Ti: 0.250 0.750 0.500
Bi: 0.398 0.398 0.796
Zr: 0.000 0.000 0.000
Ti: 0.143 0.143 0.285
Ti: 0.857 0.857 0.715
Ti: 0.750 0.250 0.500
Bi: 0.602 0.602 0.204

[4]
## ZrTiBi3 (PBE)

Data for crystalline ZrTiBi3 at its relaxed geometry.

N(E_F) in states/eV/f.u.: 7.62
ΔE_f in eV per atom: 0.558
Density in g/cm³: 8.23
Polymorph energy (0 for the lowest one) in meV/atom: 555.7
Magnetization in μB/cell: 1.43

a = 5.366 Å, b = 5.366 Å, c = 5.366 Å
α = 90.00°, β = 90.00°, γ = 90.00°
Element x y z (fractional)
Bi: 0.500 0.000 0.000
Zr: 0.500 0.500 0.500
Bi: 0.000 0.500 0.000
Ti: 0.000 0.000 0.000
Bi: 0.000 0.000 0.500

[5]
## TlBi (PBE)

Data for crystalline TlBi at its relaxed geometry.

N(E_F) in states/eV/f.u.: 0.34
ΔE_f in eV per atom: 0.217
Density in g/cm³: 8.01
Magnetization in μB/cell: 0.00

a = 4.947 Å, b = 4.947 Å, c = 8.089 Å
α = 90.00°, β = 90.00°, γ = 120.00°
Element x y z (fractional)
Tl: 0.333 0.667 0.353
Bi: 0.333 0.667 0.729
Tl: 0.667 0.333 0.853
Bi: 0.667 0.333 0.229

[6]
## TlBi2 (PBE)

Data for crystalline TlBi2 at its relaxed geometry.

N(E_F) in states/eV/f.u.: 1.18
ΔE_f in eV per atom: 0.019
Density in g/cm³: 10.14
Polymorph energy (0 for the lowest one) in meV/atom: 39.4
Magnetization in μB/cell: 0.00

a = 3.372 Å, b = 6.396 Å, c = 11.088 Å
α = 120.06°, β = 98.75°, γ = 90.00°
Element x y z (fractional)
Bi: 0.017 0.776 0.034
Bi: 0.180 0.022 0.361
Bi: 0.983 0.224 0.966
Bi: 0.820 0.978 0.639
Tl: 0.344 0.549 0.689
Tl: 0.656 0.451 0.311

Q: The highest magnetization belongs to which entry?
A: ZrTi6Bi3